A relaxed Cs2In3Sn2 crystal. Source: the Alexandria database, functional PBE-GGA.

Geometry as POSCAR:
```
Cs2In3Sn2
1.0
13.812 0.000 0.000
0.000 5.056 0.000
-4.189 0.000 7.197
Cs In Sn
4 6 4
Direct
0.157 0.000 0.303
0.343 0.500 0.697
0.657 0.500 0.303
0.843 0.000 0.697
0.000 0.500 0.500
0.086 0.500 0.923
0.414 0.000 0.077
0.500 0.000 0.500
0.586 0.000 0.923
0.914 0.500 0.077
0.157 0.000 0.798
0.343 0.500 0.202
0.657 0.500 0.798
0.843 0.000 0.202
```

Summary:
DFT total energy: -18.727 eV per formula unit
symmetry: No. 12
ΔE to the lowest computed polymorph: 0.00 eV per formula unit
magnetic moment: 0.0 μB/cell

***

A relaxed Ti2BiN crystal. Source: the Alexandria database, functional PBE-GGA.

Geometry as POSCAR:
```
Ti2BiN
1.0
6.424 0.000 0.000
0.000 6.424 0.000
0.000 0.000 6.820
Ti Bi N
8 4 4
Direct
0.118 0.750 0.125
0.250 0.118 0.875
0.250 0.382 0.375
0.382 0.750 0.625
0.618 0.250 0.625
0.750 0.618 0.375
0.750 0.882 0.875
0.882 0.250 0.125
0.000 0.000 0.500
0.000 0.500 0.750
0.500 0.000 0.250
0.500 0.500 0.000
0.000 0.000 0.000
0.000 0.500 0.250
0.500 0.000 0.750
0.500 0.500 0.500
```

Summary:
DFT total energy: -30.692 eV per formula unit
symmetry: No. 122
ΔE to the lowest computed polymorph: 0.78 eV per formula unit
magnetic moment: 0.0 μB/cell
ΔE_f (raw): -0.67 eV per atom

***

A relaxed LaZn2Ru crystal. Source: the Alexandria database, functional PBE-GGA.

Geometry as POSCAR:
```
LaZn2Ru
1.0
4.795 0.000 0.000
0.000 4.795 0.000
0.000 0.000 6.752
La Zn Ru
2 4 2
Direct
0.000 0.000 0.000
0.500 0.500 0.500
0.000 0.000 0.500
0.000 0.500 0.750
0.500 0.000 0.250
0.500 0.500 0.000
0.000 0.500 0.250
0.500 0.000 0.750
```

Summary:
DFT total energy: -16.619 eV per formula unit
symmetry: No. 119
magnetic moment: 0.0 μB/cell